Record 1
## La2Ag17 (PBE-GGA)

Data for a relaxed La2Ag17 crystal.

Properties
The calculation puts the volume at 20.45 A^3/atom. As for the space-group type: R-3m. The calculation puts the energy relative to the elements at -0.082 eV per atom.

a = 7.358 Å, b = 7.358 Å, c = 7.358 Å
α = 82.26°, β = 82.26°, γ = 82.26°
Sites, in units of the cell vectors:
La (0.342, 0.342, 0.342)
La (0.658, 0.658, 0.658)
Ag (0.650, 0.650, 0.156)
Ag (0.156, 0.650, 0.650)
Ag (0.900, 0.900, 0.900)
Ag (0.100, 0.100, 0.100)
Ag (0.000, 0.000, 0.500)
Ag (0.000, 0.500, 0.000)
Ag (0.500, 0.000, 0.000)
Ag (0.300, 0.700, 0.000)
Ag (0.700, 0.000, 0.300)
Ag (0.000, 0.300, 0.700)
Ag (0.700, 0.300, 0.000)
Ag (0.300, 0.000, 0.700)
Ag (0.000, 0.700, 0.300)
Ag (0.844, 0.350, 0.350)
Ag (0.350, 0.350, 0.844)
Ag (0.350, 0.844, 0.350)
Ag (0.650, 0.156, 0.650)

***

Record 2
## ScPaTa2N6 (PBE-GGA)

Data for a relaxed ScPaTa2N6 crystal.

Properties
The calculation puts the volume at 12.64 A^3/atom. As for the space-group type: R3. For the formation energy without anion corrections, the calculation gives -1.3365 eV/atom.

a = 5.540 Å, b = 5.540 Å, c = 5.732 Å
α = 61.10°, β = 61.10°, γ = 60.00°
Sites, in units of the cell vectors:
Sc (0.305, 0.306, 0.084)
Pa (0.799, 0.799, 0.603)
Ta (0.525, 0.525, 0.425)
Ta (0.023, 0.023, 0.932)
N (0.641, 0.231, 0.248)
N (0.232, 0.879, 0.248)
N (0.879, 0.641, 0.248)
N (0.369, 0.736, 0.742)
N (0.736, 0.153, 0.742)
N (0.153, 0.369, 0.742)